VASP calculation (PBE-GGA) on a relaxed structure of Hf3VCr.

Its energy relative to the elements is 0.83 eV/atom. The value obtained for the total magnetic moment is 2.7 Bohr magnetons per cell. The value obtained for the calculated total energy is -8.8940 eV per atom. Its energy above the most stable polymorph in this dataset is 0 meV/atom.

The structure belongs to space group Pm-3m (No. 221); the cell edges are 4.788, 4.788 and 4.788 Å and the angles 90.00°, 90.00° and 90.00°. The inequivalent atoms are Hf at (0.000, 0.000, 0.500), V at (0.500, 0.500, 0.500) and Cr at (0.000, 0.000, 0.000).